# Mn2RhC

Crystalline Mn2RhC at its relaxed geometry (PBE, Alexandria via LeMat-Bulk).

Geometry as POSCAR:
```
Mn2RhC
1.0
6.501 0.000 0.000
0.000 6.501 0.000
3.251 3.251 2.216
Mn Rh C
4 2 2
direct
0.375 0.486 0.750
0.514 0.125 0.250
0.236 0.625 0.250
0.875 0.764 0.750
0.750 0.250 0.500
0.000 0.000 0.000
0.250 0.750 0.500
0.500 0.500 0.000
```

Summary:
Its space group is No. 122. The value obtained for the uncorrected energy is -67.64 eV for the cell shown. The formation energy comes out at 0.274 eV per atom.

# Mg3Cd6Rh

Crystalline Mg3Cd6Rh at its relaxed geometry (PBE, Alexandria via LeMat-Bulk).

Geometry as POSCAR:
```
Mg3Cd6Rh
1.0
4.595 0.000 0.000
0.000 7.997 -3.368
0.000 -0.067 11.523
Cd Mg Rh
12 6 2
direct
0.750 0.505 0.386
0.750 0.126 0.216
0.250 0.409 0.933
0.250 0.495 0.614
0.250 0.874 0.784
0.750 0.858 0.944
0.750 0.979 0.605
0.250 0.142 0.056
0.750 0.261 0.506
0.750 0.591 0.067
0.250 0.021 0.395
0.250 0.739 0.494
0.250 0.503 0.211
0.750 0.497 0.789
0.750 0.804 0.322
0.750 0.172 0.886
0.250 0.828 0.114
0.250 0.196 0.678
0.250 0.306 0.343
0.750 0.694 0.657
```

Summary:
Its space group is No. 11. The value obtained for the uncorrected energy is -36.99 eV for the cell shown. The formation energy comes out at -0.087 eV per atom.

# LiMg2Cd

Crystalline LiMg2Cd at its relaxed geometry (PBE, Alexandria via LeMat-Bulk).

Geometry as POSCAR:
```
LiMg2Cd
1.0
-4.640 -2.368 0.163
0.883 -4.645 2.193
1.343 4.750 1.672
Cd Mg Li
1 2 1
direct
0.500 0.500 0.000
0.000 0.000 0.000
0.250 0.750 0.500
0.750 0.250 0.500
```

Summary:
Its space group is No. 119. The value obtained for the uncorrected energy is -6.49 eV for the cell shown. The formation energy comes out at -0.118 eV per atom.

# Tb2Be3GeIr4

Crystalline Tb2Be3GeIr4 at its relaxed geometry (PBE, Alexandria via LeMat-Bulk).

Geometry as POSCAR:
```
Tb2Be3GeIr4
1.0
4.119 0.000 0.000
0.000 4.119 0.000
0.000 0.000 9.364
Tb Ir Be Ge
2 4 3 1
direct
0.000 0.500 0.768
0.500 0.000 0.232
0.500 0.500 0.000
0.000 0.000 0.000
0.000 0.500 0.363
0.500 0.000 0.637
0.000 0.500 0.111
0.000 0.000 0.500
0.500 0.000 0.889
0.500 0.500 0.500
```

Summary:
Its space group is No. 115. The value obtained for the uncorrected energy is -67.27 eV for the cell shown. The formation energy comes out at -0.677 eV per atom.

# Ge2SbTe2

Crystalline Ge2SbTe2 at its relaxed geometry (PBE, Alexandria via LeMat-Bulk).

Geometry as POSCAR:
```
Ge2SbTe2
1.0
-2.378 0.038 -3.056
-3.000 -0.770 2.324
-4.007 8.187 0.766
Ge Sb Te
2 1 2
direct
0.750 0.250 0.500
0.250 0.750 0.500
0.000 0.000 0.000
0.605 0.605 0.791
0.395 0.395 0.209
```

Summary:
Its space group is No. 139. The value obtained for the uncorrected energy is -18.49 eV for the cell shown. The raw formation energy is 0.231 eV per atom.

# V2HgCS

Crystalline V2HgCS at its relaxed geometry (PBE, Alexandria via LeMat-Bulk).

Geometry as POSCAR:
```
V2HgCS
1.0
-0.495 0.769 -4.345
-0.220 -4.915 -0.845
-4.409 0.108 0.521
V S Hg C
2 1 1 1
direct
0.500 0.000 0.000
0.000 0.000 0.500
0.000 0.000 0.000
0.000 0.500 0.000
0.500 0.500 0.500
```

Summary:
Its space group is No. 123. The value obtained for the uncorrected energy is -23.87 eV for the cell shown. The raw formation energy is 1.605 eV per atom.

# LiZrPd3

Crystalline LiZrPd3 at its relaxed geometry (PBE, Alexandria via LeMat-Bulk).

Geometry as POSCAR:
```
LiZrPd3
1.0
4.302 0.000 0.000
0.000 4.302 0.000
0.000 0.000 4.302
Zr Li Pd
1 1 3
direct
0.500 0.500 0.500
0.000 0.000 0.000
0.500 0.000 0.000
0.000 0.500 0.000
0.000 0.000 0.500
```

Summary:
Its space group is No. 221. The value obtained for the uncorrected energy is -26.92 eV for the cell shown. The formation energy comes out at -0.176 eV per atom.

# MnH2Cl6

Crystalline MnH2Cl6 at its relaxed geometry (PBE, Alexandria via LeMat-Bulk).

Geometry as POSCAR:
```
MnH2Cl6
1.0
7.113 7.476 -0.544
-7.113 7.476 -0.544
0.000 2.709 5.351
H Cl Mn
4 12 2
direct
0.315 0.272 0.571
0.272 0.315 0.071
0.728 0.685 0.929
0.685 0.728 0.429
0.630 0.209 0.092
0.790 0.048 0.556
0.633 0.783 0.250
0.370 0.791 0.908
0.783 0.633 0.750
0.952 0.210 0.944
0.217 0.367 0.250
0.209 0.630 0.592
0.210 0.952 0.444
0.791 0.370 0.408
0.048 0.790 0.056
0.367 0.217 0.750
0.211 0.789 0.750
0.789 0.211 0.250
```

Summary:
Its space group is No. 15. The value obtained for the uncorrected energy is -65.25 eV for the cell shown.

# CaPdF3

Crystalline CaPdF3 at its relaxed geometry (PBE, Alexandria via LeMat-Bulk).

Geometry as POSCAR:
```
CaPdF3
1.0
4.381 0.000 0.000
0.000 4.381 0.000
0.000 0.000 4.381
F Pd Ca
3 1 1
direct
0.500 0.000 0.000
0.000 0.000 0.500
0.000 0.500 0.000
0.000 0.000 0.000
0.500 0.500 0.500
```

Summary:
Its space group is No. 221. The value obtained for the uncorrected energy is -22.01 eV for the cell shown. The raw formation energy is -1.840 eV per atom.

# TbY2Ho9

Crystalline TbY2Ho9 at its relaxed geometry (PBE, Alexandria via LeMat-Bulk).

Geometry as POSCAR:
```
TbY2Ho9
1.0
5.002 0.000 0.000
0.000 5.002 0.000
0.000 0.000 15.005
Y Ho Tb
2 9 1
direct
0.000 0.000 0.667
0.000 0.000 0.333
0.500 0.500 0.000
0.000 0.500 0.500
0.500 0.500 0.667
0.500 0.500 0.333
0.000 0.500 0.834
0.000 0.500 0.166
0.500 0.000 0.500
0.500 0.000 0.834
0.500 0.000 0.166
0.000 0.000 0.000
```

Summary:
Its space group is No. 123. The value obtained for the uncorrected energy is -58.48 eV for the cell shown. The formation energy comes out at 0.023 eV per atom.

# K2BeZn

Crystalline K2BeZn at its relaxed geometry (PBE, Alexandria via LeMat-Bulk).

Geometry as POSCAR:
```
K2BeZn
1.0
-5.305 0.923 -3.268
0.842 -2.779 -5.590
-0.071 -1.542 6.107
Zn K Be
1 2 1
direct
0.392 0.392 0.000
0.713 0.213 0.500
0.034 0.034 0.000
0.361 0.861 0.500
```

Summary:
Its space group is No. 44. The value obtained for the uncorrected energy is -5.55 eV for the cell shown. The formation energy comes out at 0.412 eV per atom.

# TbCd2Ag3

Crystalline TbCd2Ag3 at its relaxed geometry (PBE, Alexandria via LeMat-Bulk).

Geometry as POSCAR:
```
TbCd2Ag3
1.0
-1.197 -3.393 -3.211
3.577 -0.800 3.134
-8.349 -4.892 8.281
Ag Cd Tb
6 4 2
direct
0.667 0.333 0.864
0.333 0.667 0.364
0.667 0.333 0.636
0.000 0.000 0.000
0.000 0.000 0.500
0.333 0.667 0.136
0.667 0.333 0.094
0.333 0.667 0.906
0.333 0.667 0.594
0.667 0.333 0.406
0.000 0.000 0.750
0.000 0.000 0.250
```

Summary:
Its space group is No. 194. The value obtained for the uncorrected energy is -32.32 eV for the cell shown. The formation energy comes out at -0.191 eV per atom.

- What is the uncorrected energy in the twelfth record?
  -32.32 eV for the cell shown

- What is the uncorrected energy in the third record?
  -6.49 eV for the cell shown